[1]
The following is a PBE calculation of a geometry-optimized AlCu3Ni2 structure, from Alexandria via LeMat-Bulk.

Distance to the lowest polymorph of the same formula, meV/atom: 204
E_form, eV per atom: -0.0057
Energy, eV/atom: -4.605

Cell and atoms, written as POSCAR:
```
AlCu3Ni2
1.0
4.651 0.000 0.000
-2.326 4.028 0.000
0.000 0.000 4.150
Al Cu Ni
1 3 2
Direct
0.000 0.000 0.000
0.000 0.500 0.500
0.500 0.000 0.500
0.500 0.500 0.500
0.333 0.667 0.000
0.667 0.333 0.000
```

=====

[2]
The following is a PBE calculation of a geometry-optimized Al2CuNi5 structure, from Alexandria via LeMat-Bulk.

Distance to the lowest polymorph of the same formula, meV/atom: 82
E_form, eV per atom: -0.3356
Energy, eV/atom: -5.397

Cell and atoms, written as POSCAR:
```
Al2CuNi5
1.0
-2.069 2.069 5.394
2.069 -2.069 5.394
2.069 2.069 -5.394
Al Cu Ni
2 1 5
Direct
0.249 0.249 0.000
0.751 0.751 0.000
0.500 0.500 0.000
0.000 0.000 0.000
0.124 0.624 0.500
0.376 0.876 0.500
0.624 0.124 0.500
0.876 0.376 0.500
```

=====

[3]
The following is a PBE calculation of a geometry-optimized AlCuNi2 structure, from Alexandria via LeMat-Bulk.

E_form, eV per atom: -0.1777
Energy, eV/atom: -5.028

Cell and atoms, written as POSCAR:
```
AlCuNi2
1.0
1.314 0.758 7.987
-1.314 0.758 7.987
0.000 -1.517 7.987
Al Cu Ni
1 1 2
Direct
0.000 0.000 0.000
0.500 0.500 0.500
0.252 0.252 0.252
0.748 0.748 0.748
```

=====

[4]
The following is a PBE calculation of a geometry-optimized AlCuNi2 structure, from Alexandria via LeMat-Bulk.

E_form, eV per atom: -0.1007
Energy, eV/atom: -4.951

Cell and atoms, written as POSCAR:
```
AlCuNi2
1.0
1.310 0.756 8.059
-1.310 0.756 8.059
0.000 -1.512 8.059
Al Cu Ni
1 1 2
Direct
0.000 0.000 0.000
0.246 0.246 0.246
0.496 0.496 0.496
0.746 0.746 0.746
```

=====

The following volume values (in Å³/atom) correspond, in order, to the records above: 13.0, 11.5, 11.9, 12.0.